(1)
VASP calculation (GGA-PBE) on crystalline Mg2SnAu2 at its relaxed geometry.

Cell lengths 3.8898, 3.8898, 7.8562 Å; angles 75.67, 75.67, 90.00 degrees
Positions (direct):
Mg1 0.6102 0.6102 0.7796
Mg2 0.3898 0.3898 0.2204
Au1 0.2500 0.7500 0.5000
Au2 0.7500 0.2500 0.5000
Sn1 0.0000 0.0000 0.0000

Values from the calculation:
V: 22.3 A^3/atom
E: -2.978 eV per atom
E_form: -1.145 eV/f.u.
Crystal system: tetragonal
ΔE to the lowest computed polymorph: 0.214 eV/atom
DOS(E_F): 1.95 states/eV/f.u.

(2)
VASP calculation (GGA-PBE) on crystalline Cs3Tm3BiSe8 at its relaxed geometry.

Cell lengths 8.3302, 8.3388, 9.8184 Å; angles 115.20, 90.01, 119.97 degrees
Positions (direct):
Tm1 0.5000 0.5000 0.5000
Tm2 0.0000 0.5000 0.5000
Tm3 0.5000 0.0000 0.5000
Se1 0.2801 0.0474 0.3151
Se2 0.7199 0.9526 0.6849
Se3 0.7277 0.4553 0.6826
Se4 0.7672 0.5345 0.3149
Se5 0.2723 0.5447 0.3174
Se6 0.2327 0.9527 0.6849
Se7 0.7673 0.0473 0.3151
Se8 0.2328 0.4655 0.6851
Cs1 0.0000 0.5000 0.0000
Cs2 0.5000 0.5000 0.0000
Cs3 0.0000 0.0000 0.0000
Bi1 0.0000 0.0000 0.5000

Values from the calculation:
Uncorrected formation energy: -1417 meV per atom
V: 34.3 A^3/atom
E: -4.599 eV per atom
Crystal system: monoclinic
DOS(E_F): 7.98 states/eV/f.u.

(3)
VASP calculation (GGA-PBE) on crystalline SiMo2Br at its relaxed geometry.

Cell lengths 8.3306, 8.3306, 8.3306 Å; angles 21.01, 21.01, 21.01 degrees
Positions (direct):
Si1 0.2500 0.2500 0.2500
Mo1 0.5052 0.5052 0.5052
Mo2 0.9948 0.9948 0.9948
Br1 0.7500 0.7500 0.7500

Values from the calculation:
Uncorrected formation energy: 445 meV per atom
V: 16.3 A^3/atom
E: -6.744 eV per atom
Crystal system: trigonal
ΔE to the lowest computed polymorph: 0.307 eV/atom
DOS(E_F): 5.68 states/eV/f.u.

(4)
VASP calculation (GGA-PBE) on crystalline ScSiRuRh at its relaxed geometry.

Cell lengths 4.3307, 4.3307, 4.3307 Å; angles 60.00, 60.00, 60.00 degrees
Positions (direct):
Sc1 0.2500 0.2500 0.2500
Rh1 0.0000 0.0000 0.0000
Si1 0.7500 0.7500 0.7500
Ru1 0.5000 0.5000 0.5000

Values from the calculation:
Uncorrected formation energy: -884 meV per atom
V: 14.4 A^3/atom
E: -7.980 eV per atom
Crystal system: cubic
DOS(E_F): 0.66 states/eV/f.u.